Crystalline CsSb2Pb at its relaxed geometry. Source: the Alexandria database, functional PBE.

CIF file:
```
data_CsSb2Pb
_cell_length_a 10.4762
_cell_length_b 10.4762
_cell_length_c 10.4762
_cell_angle_alpha 22.96
_cell_angle_beta 22.96
_cell_angle_gamma 22.96
_space_group_name_H-M_alt 'P 1'
_space_group_IT_number 1
_space_group_name_Hall 'P 1'
loop_
_atom_site_label
_atom_site_type_symbol
_atom_site_fract_x
_atom_site_fract_y
_atom_site_fract_z
Cs1 Cs 0.0000 0.0000 0.0000
Sb1 Sb 0.2332 0.2332 0.2332
Sb2 Sb 0.7668 0.7668 0.7668
Pb1 Pb 0.5000 0.5000 0.5000
```

Values from the calculation:
symmetry	R-3m, No. 166
calculated total energy	-3.14	eV per atom

Crystalline CaGaCuGe2 at its relaxed geometry. Source: the Alexandria database, functional PBE.

CIF file:
```
data_CaGaCuGe2
_cell_length_a 6.1064
_cell_length_b 6.1064
_cell_length_c 6.1064
_cell_angle_alpha 138.94
_cell_angle_beta 138.94
_cell_angle_gamma 59.46
_space_group_name_H-M_alt 'P 1'
_space_group_IT_number 1
_space_group_name_Hall 'P 1'
loop_
_atom_site_label
_atom_site_type_symbol
_atom_site_fract_x
_atom_site_fract_y
_atom_site_fract_z
Ca1 Ca 0.0000 0.0000 0.0000
Ga1 Ga 0.2500 0.7500 0.5000
Cu1 Cu 0.7500 0.2500 0.5000
Ge1 Ge 0.3819 0.3819 0.0000
Ge2 Ge 0.6181 0.6181 0.0000
```

Values from the calculation:
energy above the most stable polymorph in this dataset	0.0000	eV/atom
E_form	-1.49	eV/f.u.
symmetry	I-4m2, No. 119

Crystalline Tb2Pm4PrTh at its relaxed geometry. Source: the Alexandria database, functional PBE.

CIF file:
```
data_Tb2Pm4PrTh
_cell_length_a 5.1203
_cell_length_b 5.1257
_cell_length_c 10.2955
_cell_angle_alpha 90.00
_cell_angle_beta 90.05
_cell_angle_gamma 90.00
_space_group_name_H-M_alt 'P 1'
_space_group_IT_number 1
_space_group_name_Hall 'P 1'
loop_
_atom_site_label
_atom_site_type_symbol
_atom_site_fract_x
_atom_site_fract_y
_atom_site_fract_z
Tb1 Tb 0.0000 0.0000 0.0000
Tb2 Tb 0.5000 0.5000 0.5000
Pm1 Pm 0.0003 0.5000 0.2454
Pm2 Pm 0.9997 0.5000 0.7546
Pm3 Pm 0.4999 0.0000 0.2444
Pm4 Pm 0.5001 0.0000 0.7556
Pr1 Pr 0.0000 0.0000 0.5000
Th1 Th 0.5000 0.5000 0.0000
```

Values from the calculation:
E_form	0.28	eV/f.u.
symmetry	P2/m, No. 10

Crystalline Pu2HfSc12 at its relaxed geometry. Source: the Alexandria database, functional PBE.

CIF file:
```
data_Pu2HfSc12
_cell_length_a 5.8756
_cell_length_b 5.8756
_cell_length_c 23.0510
_cell_angle_alpha 90.00
_cell_angle_beta 90.00
_cell_angle_gamma 90.00
_space_group_name_H-M_alt 'P 1'
_space_group_IT_number 1
_space_group_name_Hall 'P 1'
loop_
_atom_site_label
_atom_site_type_symbol
_atom_site_fract_x
_atom_site_fract_y
_atom_site_fract_z
Pu1 Pu 0.2500 0.7500 0.2248
Pu2 Pu 0.2500 0.7500 0.7752
Pu3 Pu 0.7500 0.2500 0.2248
Pu4 Pu 0.7500 0.2500 0.7752
Hf1 Hf 0.2500 0.7500 0.5000
Hf2 Hf 0.7500 0.2500 0.5000
Sc1 Sc 0.0009 0.5009 0.3983
Sc2 Sc 0.0009 0.9991 0.6017
Sc3 Sc 0.0799 0.5799 0.9390
Sc4 Sc 0.0799 0.9201 0.0610
Sc5 Sc 0.2500 0.2500 0.1610
Sc6 Sc 0.2500 0.2500 0.2925
Sc7 Sc 0.2500 0.2500 0.7075
Sc8 Sc 0.2500 0.2500 0.8390
Sc9 Sc 0.4201 0.5799 0.0610
Sc10 Sc 0.4201 0.9201 0.9390
Sc11 Sc 0.4991 0.5009 0.6017
Sc12 Sc 0.4991 0.9991 0.3983
Sc13 Sc 0.5009 0.0009 0.6017
Sc14 Sc 0.5009 0.4991 0.3983
Sc15 Sc 0.5799 0.0799 0.0610
Sc16 Sc 0.5799 0.4201 0.9390
Sc17 Sc 0.7500 0.7500 0.1610
Sc18 Sc 0.7500 0.7500 0.2925
Sc19 Sc 0.7500 0.7500 0.7075
Sc20 Sc 0.7500 0.7500 0.8390
Sc21 Sc 0.9201 0.0799 0.9390
Sc22 Sc 0.9201 0.4201 0.0610
Sc23 Sc 0.9991 0.0009 0.3983
Sc24 Sc 0.9991 0.4991 0.6017
```

Values from the calculation:
E_form	6.99	eV/f.u.
symmetry	P4/nbm, No. 125